Tb3PrTm7 (PBE-GGA, relaxed); energy of formation from the pure elements = 0.158 eV/atom; total magnetic moment = 0.0000 μB/atom; energy above the most stable polymorph in this dataset = 0 meV/atom
1.0
8.309 -0.685 -2.839
-2.114 9.612 -0.582
-1.860 -0.099 5.152
Tb Pr Tm
3 1 7
direct
0.222 0.005 0.723 Tb
0.000 0.500 0.000 Tb
0.778 0.995 0.277 Tb
0.500 0.500 0.500 Pr
0.928 0.832 0.928 Tm
0.823 0.642 0.323 Tm
0.651 0.289 0.151 Tm
0.349 0.711 0.849 Tm
0.500 0.000 0.500 Tm
0.177 0.358 0.677 Tm
0.072 0.168 0.072 Tm

=====

Ir5Os2Rh (PBE-GGA, relaxed); energy of formation from the pure elements = 0.441 eV/atom; total magnetic moment = 0.0000 μB/atom
1.0
6.618 0.000 0.000
0.000 6.618 0.000
-3.309 -3.309 5.584
Ir Os Rh
10 4 2
direct
0.477 0.685 0.662 Ir
0.815 0.023 0.338 Ir
0.000 0.000 0.000 Ir
0.500 0.500 0.000 Ir
0.185 0.977 0.662 Ir
0.685 0.185 0.662 Ir
0.977 0.477 0.662 Ir
0.315 0.815 0.338 Ir
0.023 0.523 0.338 Ir
0.523 0.315 0.338 Ir
0.136 0.364 0.000 Os
0.636 0.136 0.000 Os
0.364 0.864 0.000 Os
0.864 0.636 0.000 Os
0.750 0.750 0.500 Rh
0.250 0.250 0.500 Rh

=====

Ti3CrAg3S8 (PBE-GGA, relaxed); ΔE_f (raw) = -0.81 eV/atom; total magnetic moment = 0.0896 μB/atom
1.0
6.849 0.000 0.000
-3.425 5.930 -0.042
0.000 -3.943 6.911
Ti Cr Ag S
3 1 3 8
direct
0.500 0.000 0.500 Ti
0.500 0.500 0.500 Ti
0.000 0.500 0.500 Ti
0.000 0.000 0.500 Cr
0.000 0.000 0.000 Ag
0.000 0.500 0.000 Ag
0.500 0.500 0.000 Ag
0.263 0.526 0.291 S
0.737 0.474 0.709 S
0.767 0.534 0.290 S
0.233 0.466 0.710 S
0.767 0.021 0.291 S
0.233 0.979 0.709 S
0.254 0.021 0.291 S
0.746 0.979 0.709 S

=====

KMg2BeZn (PBE-GGA, relaxed); energy of formation from the pure elements = 0.762 eV/atom; total magnetic moment = 0.0000 μB/atom
1.0
5.133 0.000 0.000
0.000 5.928 0.000
0.000 0.000 5.133
Mg Be Zn K
2 1 1 1
direct
0.000 0.000 0.500 Mg
0.500 0.000 0.000 Mg
0.500 0.500 0.500 Be
0.000 0.000 0.000 Zn
0.000 0.500 0.000 K

=====

Sb2TeRu (PBE-GGA, relaxed); ΔE_f (raw) = 0.54 eV/atom; total magnetic moment = 0.0001 μB/atom
1.0
3.469 0.000 0.000
0.000 5.032 0.000
0.000 0.000 5.157
Ru Sb Te
1 2 1
direct
0.000 0.500 0.500 Ru
0.000 0.000 0.000 Sb
0.500 0.500 0.000 Sb
0.500 0.000 0.500 Te

=====

Sr2MgBi3Rh4 (PBE-GGA, relaxed); energy of formation from the pure elements = -0.453 eV/atom; total magnetic moment = 0.0000 μB/atom
1.0
4.497 0.000 0.000
0.000 4.497 0.000
0.000 0.000 11.615
Sr Mg Bi Rh
2 1 3 4
direct
0.500 0.000 0.252 Sr
0.000 0.500 0.748 Sr
0.500 0.500 0.500 Mg
0.000 0.000 0.500 Bi
0.500 0.000 0.867 Bi
0.000 0.500 0.133 Bi
0.500 0.500 0.000 Rh
0.000 0.000 0.000 Rh
0.500 0.000 0.633 Rh
0.000 0.500 0.367 Rh